{
  "formula": "K2TbSmTe4",
  "functional": "PBE",
  "state": "optimized geometry",
  "density_g_cm3": 5.1,
  "raw_formation_energy_mev_per_atom": -1407,
  "total_energy_ev_per_atom": -4.421,
  "total_magnetization_mub_per_cell": 0.0,
  "space_group": "P2/m, No. 10",
  "lattice": [[7.8661, 0.0000, 0.0000], [0.0000, 4.5426, 0.0000], [-2.6176, 0.0000, 8.2487]],
  "species": ["K", "K", "Tb", "Sm", "Te", "Te", "Te", "Te"],
  "fractional_positions": [[0.0000, 0.0000, 0.0000], [0.5000, 0.5000, 0.0000], [0.0000, 0.5000, 0.5000], [0.5000, 0.0000, 0.5000], [0.2331, 0.0000, 0.7100], [0.2596, 0.5000, 0.2883], [0.7404, 0.5000, 0.7117], [0.7669, 0.0000, 0.2900]]
}